Record 1
A relaxed structure of TaBO2F, computed with PBE.

```
TaBO2F
1.0
3.251 0.000 0.000
0.000 3.251 0.000
0.000 0.000 4.495
Ta B O F
1 1 2 1
Cartesian
0.000 0.000 0.000
0.000 0.000 2.247
0.000 1.625 2.247
1.625 0.000 2.247
1.625 1.625 0.000
```

For the magnetic moment, the calculation gives 0.000 μB per cell. The formation energy without anion corrections is -2.2 eV per formula unit. Its space group is P4/mmm. As for the crystal system: tetragonal. Its volume is 9.5 A^3/atom.

Record 2
A relaxed structure of CsTcO4, computed with PBE.

```
CsTcO4
1.0
10.062 0.000 0.000
0.000 6.564 0.000
0.000 0.000 8.339
Cs Tc O
4 4 16
Cartesian
1.794 1.641 1.315
3.237 4.923 5.485
6.825 1.641 2.855
8.267 4.923 7.024
0.635 1.641 5.718
4.396 4.923 1.548
5.666 1.641 6.791
9.427 4.923 2.621
0.805 0.218 6.714
0.805 3.064 6.714
0.940 4.923 3.363
1.876 1.641 4.498
3.155 4.923 0.328
4.091 1.641 7.533
4.226 3.500 2.545
4.226 6.346 2.545
5.836 0.218 5.794
5.836 3.064 5.794
5.971 4.923 0.806
6.906 1.641 8.011
8.186 4.923 3.841
9.121 1.641 4.976
9.257 3.500 1.625
9.257 6.346 1.625
```

For the magnetic moment, the calculation gives 0.512 μB per cell. The formation energy without anion corrections is -10.2 eV per formula unit. Its space group is Pnma. As for the crystal system: orthorhombic. Its volume is 22.9 A^3/atom.

Record 3
A relaxed structure of Rb2PuAg2I6, computed with PBE.

```
Rb2PuAg2I6
1.0
7.560 -4.415 0.000
7.560 4.415 0.000
-4.545 0.000 7.585
Rb Pu Ag I
2 1 2 6
Cartesian
2.700 0.000 1.478
7.875 0.000 6.107
-2.273 0.000 3.793
3.130 0.000 6.147
7.445 0.000 1.438
5.740 2.273 1.465
0.793 0.000 4.599
4.834 2.273 6.120
5.740 -2.273 1.465
9.782 0.000 2.986
4.834 -2.273 6.120
```

For the magnetic moment, the calculation gives 5.992 μB per cell. The formation energy without anion corrections is -9.6 eV per formula unit. Its space group is C2/m. As for the crystal system: monoclinic. Its volume is 46.0 A^3/atom.

Record 4
A relaxed structure of NaReAsBr2, computed with PBE.

```
NaReAsBr2
1.0
5.171 0.000 0.000
0.000 5.171 0.000
0.000 0.000 5.709
Na Re As Br
1 1 1 2
Cartesian
0.000 0.000 0.000
2.585 2.585 2.855
0.000 0.000 2.855
0.000 2.585 0.000
2.585 0.000 0.000
```

For the magnetic moment, the calculation gives 2.990 μB per cell. The formation energy without anion corrections is 5.9 eV per formula unit. Its space group is P4/mmm. As for the crystal system: tetragonal. Its volume is 30.5 A^3/atom. The distance to the lowest polymorph of the same formula comes out at 1137 meV/atom.